Density functional theory data (PBE+U) for a relaxed structure of K4Tb3VO8.

Summary:
* symmetry: No. 12
* total energy: -105.1 eV for the cell shown

abc: 6.8108 7.3784 6.8611
angles: 117.70 119.76 90.00
Site moments in Bohr magnetons follow the coordinates.
Fractional coordinates of all 16 atoms:
O 0.7714 0.3098 0.5427  0.00
O 0.2138 0.6784 0.9638  -0.01
O 0.7282 0.6880 0.4564  0.00
O 0.2718 0.3120 0.5436  0.00
O 0.7862 0.3216 0.0362  -0.01
O 0.2500 0.3216 0.0362  -0.01
O 0.2286 0.6902 0.4573  0.00
O 0.7500 0.6784 0.9638  -0.01
K 0.5000 0.0000 0.0000  0.00
K 0.0000 0.0000 0.0000  0.00
K 0.0000 0.0000 0.5000  0.00
K 0.5000 0.0000 0.5000  0.00
Tb 0.5000 0.5000 0.5000  0.00
Tb 0.0000 0.5000 0.5000  0.00
Tb 0.5000 0.5000 0.0000  0.00
V 0.0000 0.5000 0.0000  1.92